1.
VASP calculation (PBE-GGA) on crystalline MoBr4 at its relaxed geometry.

```
20
Lattice="3.486 -6.260 0.000 3.486 6.260 0.000 0.000 0.000 13.515" Properties=species:S:1:pos:R:3 pbc="T T T"
Mo 1.470 1.549 0.000
Mo 1.470 -1.549 6.758
Mo 5.501 1.549 0.000
Mo 5.501 -1.549 6.758
Br 1.675 2.938 2.034
Br 3.486 6.123 1.157
Br 1.681 0.163 11.481
Br 1.681 -0.163 4.723
Br 3.486 3.027 5.598
Br 3.486 2.982 12.528
Br 1.675 -2.938 8.792
Br 3.486 0.117 0.991
Br 3.486 -0.117 7.749
Br 5.297 2.938 2.034
Br 3.486 -2.982 5.770
Br 3.486 -3.027 12.355
Br 5.290 0.163 11.481
Br 5.290 -0.163 4.723
Br 3.486 -6.123 7.915
Br 5.297 -2.938 8.792
```

The energy is -3.9937 eV per atom.

2.
VASP calculation (PBE-GGA) on crystalline MoBr2 at its relaxed geometry.

```
6
Lattice="0.000 4.379 4.379 4.379 0.000 4.379 4.379 4.379 0.000" Properties=species:S:1:pos:R:3 pbc="T T T"
Mo 1.095 1.095 1.095
Mo 7.663 7.663 7.663
Br 4.379 2.190 2.190
Br 2.190 4.379 2.190
Br 2.190 2.190 4.379
Br 4.379 4.379 4.379
```

The energy is -3.1124 eV per atom. As for the distance to the lowest polymorph of the same formula: 2.270 eV/atom.

3.
VASP calculation (PBE-GGA) on crystalline Mo3Br2 at its relaxed geometry.

```
10
Lattice="3.354 1.937 4.452 -3.354 1.937 4.452 0.000 -3.873 4.452" Properties=species:S:1:pos:R:3 pbc="T T T"
Mo -2.436 -0.346 5.565
Mo -0.918 -2.283 7.791
Mo 1.518 -1.937 5.565
Mo -1.518 1.937 7.791
Mo 0.918 2.283 5.565
Mo 2.436 0.346 7.791
Br 0.000 0.000 1.457
Br 0.000 0.000 5.222
Br 0.000 0.000 8.135
Br 0.000 0.000 11.900
```

The energy is -6.0450 eV per atom.

4.
VASP calculation (PBE-GGA) on crystalline MoBr4 at its relaxed geometry.

```
5
Lattice="-3.207 3.207 4.953 3.207 -3.207 4.953 3.207 3.207 -4.953" Properties=species:S:1:pos:R:3 pbc="T T T"
Mo 0.000 0.000 0.000
Br 1.403 1.403 -1.338
Br 1.803 -1.803 6.291
Br 1.803 1.803 3.615
Br -1.803 1.803 6.291
```

The energy is -3.9285 eV per atom.

5.
VASP calculation (PBE-GGA) on crystalline NdMoBrN at its relaxed geometry.

```
8
Lattice="3.525 0.000 0.000 -1.762 3.052 0.000 0.000 0.000 13.501" Properties=species:S:1:pos:R:3 pbc="T T T"
Nd 0.000 0.000 2.413
Nd 0.000 0.000 11.088
Mo 0.000 2.035 4.574
Mo 0.000 2.035 8.927
Br 0.000 0.000 6.750
Br 0.000 2.035 0.000
N 1.762 1.017 3.877
N 1.762 1.017 9.624
```

The energy is -6.9524 eV per atom.

6.
VASP calculation (PBE-GGA) on crystalline NaMo6Br13 at its relaxed geometry.

```
40
Lattice="9.543 0.000 0.000 -4.101 8.767 0.000 -2.938 -3.399 14.154" Properties=species:S:1:pos:R:3 pbc="T T T"
Na -1.715 1.457 3.260
Na 4.219 3.911 10.894
Mo -1.874 1.153 13.290
Mo -2.179 5.920 7.621
Mo 2.188 -1.004 5.738
Mo -0.225 -0.859 13.816
Mo 1.840 4.103 1.639
Mo -0.187 5.759 5.876
Mo 2.691 -0.391 8.278
Mo 0.664 1.266 12.515
Mo 2.729 6.228 0.338
Mo 0.316 6.373 8.416
Mo 4.683 -0.552 6.533
Mo 4.378 4.215 0.864
Br -4.205 1.430 12.141
Br -4.117 4.290 8.328
Br -2.658 5.317 5.144
Br 0.216 2.424 0.427
Br 0.684 -0.164 3.756
Br 0.231 -0.824 7.478
Br -4.314 5.342 13.279
Br -1.005 -0.387 11.348
Br 0.214 6.054 1.061
Br 0.613 3.771 4.106
Br -0.445 3.943 7.752
Br -0.964 3.255 12.013
Br 2.410 -2.247 10.105
Br 0.094 7.615 4.049
Br 3.468 2.114 2.141
Br 2.949 1.426 6.402
Br 1.891 1.598 10.048
Br 2.290 -0.685 13.093
Br 3.509 5.756 2.806
Br 6.817 0.026 0.875
Br 2.273 6.192 6.676
Br 1.819 5.532 10.398
Br 2.288 2.944 13.727
Br 5.162 0.052 9.010
Br 6.621 1.078 5.826
Br 6.708 3.938 2.013
```

The energy is -5.1492 eV per atom.

7.
VASP calculation (PBE-GGA) on crystalline NaMo2Se2Br6 at its relaxed geometry.

```
11
Lattice="-2.408 5.298 6.411 2.408 -5.298 6.411 2.408 5.298 -6.411" Properties=species:S:1:pos:R:3 pbc="T T T"
Na 0.000 0.000 0.000
Mo 2.408 3.773 0.000
Mo 0.000 1.524 6.411
Se 0.000 3.822 0.000
Se 0.000 6.774 0.000
Br 2.408 1.823 -1.730
Br 2.408 1.823 1.730
Br 0.000 0.000 4.346
Br 0.000 0.000 8.477
Br 0.000 3.475 4.681
Br 0.000 3.475 8.142
```

The energy is -4.1509 eV per atom.

8.
VASP calculation (PBE-GGA) on crystalline PrMoPBr2 at its relaxed geometry.

```
5
Lattice="3.929 0.000 0.000 -1.965 3.403 0.000 0.000 0.000 9.960" Properties=species:S:1:pos:R:3 pbc="T T T"
Pr 0.000 0.000 0.000
Mo 1.965 1.134 2.662
P 0.000 2.269 1.737
Br 0.000 0.000 4.375
Br 1.965 1.134 7.967
```

The energy is -5.8649 eV per atom.

9.
VASP calculation (PBE-GGA) on crystalline RbMoBr3 at its relaxed geometry.

```
20
Lattice="7.731 0.000 0.000 0.000 7.569 0.000 0.000 0.000 10.893" Properties=species:S:1:pos:R:3 pbc="T T T"
Rb 0.341 0.114 0.000
Rb 3.525 3.899 5.446
Rb 4.207 3.670 0.000
Rb 7.390 7.455 5.446
Mo 0.005 3.787 2.726
Mo 3.860 0.002 8.172
Mo 3.871 7.567 2.726
Mo 7.726 3.782 8.172
Br 0.026 4.102 0.002
Br 1.669 5.942 7.944
Br 1.666 5.950 2.964
Br 2.197 2.157 2.498
Br 2.199 2.166 8.410
Br 3.839 0.318 5.448
Br 3.892 7.251 0.002
Br 5.532 5.403 2.964
Br 5.535 5.412 7.944
Br 6.065 1.619 8.410
Br 6.062 1.627 2.498
Br 7.705 3.467 5.448
```

The energy is -4.0548 eV per atom.

10.
VASP calculation (PBE-GGA) on crystalline MoSBr at its relaxed geometry.

```
6
Lattice="3.741 0.000 0.000 0.000 4.918 0.000 0.000 0.000 8.681" Properties=species:S:1:pos:R:3 pbc="T T T"
Mo 0.935 1.229 1.081
Mo 2.806 3.688 7.600
S 0.935 3.688 0.571
S 2.806 1.229 8.110
Br 0.935 3.688 5.730
Br 2.806 1.229 2.951
```

The energy is -5.8997 eV per atom.

11.
VASP calculation (PBE-GGA) on crystalline MoSe3SBr at its relaxed geometry.

```
12
Lattice="6.364 0.000 0.000 -2.073 7.837 0.000 -1.109 -4.362 6.838" Properties=species:S:1:pos:R:3 pbc="T T T"
Mo -0.671 7.834 0.000
Mo 4.962 0.003 0.000
Se 0.000 0.419 2.106
Se 0.004 1.549 6.264
Se 2.071 -3.259 5.218
Se 1.111 6.734 1.621
Se 3.178 1.926 0.574
Se 3.182 3.056 4.733
S -1.105 -2.666 5.829
S 4.286 6.141 1.009
Br 0.005 3.090 2.565
Br 3.176 0.385 4.273
```

The energy is -4.9358 eV per atom. As for the distance to the lowest polymorph of the same formula: 0.000 eV/atom.

12.
VASP calculation (PBE-GGA) on crystalline MoSe3SBr at its relaxed geometry.

```
12
Lattice="6.348 0.000 0.000 -1.086 7.940 0.000 -2.081 -4.235 6.693" Properties=species:S:1:pos:R:3 pbc="T T T"
Mo -0.665 -4.232 6.690
Mo 3.846 7.937 0.003
Se -1.083 6.057 0.981
Se 0.001 1.522 1.510
Se 0.013 4.280 4.765
Se 3.169 -0.575 1.928
Se 3.180 2.183 5.183
Se 4.264 -2.352 5.711
S 2.086 6.153 0.096
S 1.096 -2.447 6.597
Br 0.012 0.415 3.982
Br 3.169 3.290 2.711
```

The energy is -4.9207 eV per atom. As for the distance to the lowest polymorph of the same formula: 0.015 eV/atom.

13.
VASP calculation (PBE-GGA) on crystalline MoSe3SBr at its relaxed geometry.

```
12
Lattice="6.409 0.000 0.000 -3.203 7.303 0.000 -1.157 -3.781 7.076" Properties=species:S:1:pos:R:3 pbc="T T T"
Mo 1.413 0.001 0.004
Mo 0.637 3.521 7.071
Se -0.006 -0.100 2.125
Se -1.159 2.064 5.716
Se -1.157 4.416 5.348
Se 3.207 -0.894 1.728
Se 3.209 1.458 1.360
Se 2.055 3.623 4.951
S -1.153 -1.906 6.429
S 3.203 5.428 0.647
Br -0.004 3.508 1.727
Br 2.053 0.014 5.348
```

The energy is -4.8939 eV per atom. As for the distance to the lowest polymorph of the same formula: 0.042 eV/atom.

14.
VASP calculation (PBE-GGA) on crystalline TeMoSeS2Br at its relaxed geometry.

```
12
Lattice="6.435 0.000 0.000 -3.198 7.502 0.000 -2.013 -3.311 7.195" Properties=species:S:1:pos:R:3 pbc="T T T"
Te -0.001 1.047 1.898
Te 1.224 3.143 5.297
Mo 1.815 0.000 0.005
Mo -0.591 4.190 7.190
Se -3.200 6.026 1.362
Se 4.424 -1.835 5.833
S -1.998 2.318 6.521
S -2.003 3.991 5.216
S 3.226 0.200 1.979
S 3.221 1.872 0.674
Br 0.018 3.938 1.721
Br 1.205 0.253 5.474
```

The energy is -4.9314 eV per atom. As for the distance to the lowest polymorph of the same formula: 0.059 eV/atom.

15.
VASP calculation (PBE-GGA) on crystalline Te2MoSeSBr at its relaxed geometry.

```
12
Lattice="6.659 0.000 0.000 -1.275 8.229 0.000 -3.327 -3.633 6.718" Properties=species:S:1:pos:R:3 pbc="T T T"
Te -3.325 -1.518 6.717
Te 0.002 0.407 2.146
Te 2.054 4.188 4.572
Te 5.382 6.113 0.001
Mo -2.688 4.590 6.716
Mo 4.744 0.005 0.002
Se -1.266 2.680 5.769
Se 3.323 1.915 0.949
S -0.002 -2.129 5.425
S 2.058 6.724 1.293
Br -1.270 4.818 2.724
Br 3.327 -0.223 3.994
```

The energy is -4.7185 eV per atom. As for the distance to the lowest polymorph of the same formula: 0.073 eV/atom.

16.
VASP calculation (PBE-GGA) on crystalline Te2MoSeSBr at its relaxed geometry.

```
12
Lattice="6.604 0.000 0.000 -2.066 8.109 0.000 -1.256 -4.482 7.068" Properties=species:S:1:pos:R:3 pbc="T T T"
Te -1.032 2.889 1.792
Te -1.035 6.114 0.772
Te 4.317 -2.487 6.296
Te 4.314 0.738 5.276
Mo -0.396 -0.425 7.067
Mo 3.678 4.052 0.001
Se 1.015 -0.782 4.957
Se 2.266 4.409 2.111
S 2.264 2.354 1.014
S 1.018 1.273 6.054
Br -1.051 4.577 4.400
Br 4.332 -0.950 2.668
```

The energy is -4.7513 eV per atom. As for the distance to the lowest polymorph of the same formula: 0.040 eV/atom.

17.
VASP calculation (PBE-GGA) on crystalline TeMoSe2SBr at its relaxed geometry.

```
12
Lattice="6.508 0.000 0.000 -2.108 7.938 0.000 -3.247 -3.291 6.936" Properties=species:S:1:pos:R:3 pbc="T T T"
Te -0.003 1.247 1.765
Te 1.156 3.400 5.171
Mo 1.809 0.004 0.002
Mo -0.656 4.643 6.934
Se -2.104 4.998 4.836
Se -2.110 2.771 5.946
Se 3.263 1.876 0.991
Se 3.257 -0.351 2.100
S -3.249 -1.560 6.326
S 4.402 6.207 0.610
Br 0.013 -0.164 4.396
Br 1.140 4.811 2.540
```

The energy is -4.8098 eV per atom. As for the distance to the lowest polymorph of the same formula: 0.062 eV/atom.

18.
VASP calculation (PBE-GGA) on crystalline TeMoSe2SBr at its relaxed geometry.

```
12
Lattice="6.452 0.000 0.000 -1.401 7.268 0.000 -3.187 -3.021 7.410" Properties=species:S:1:pos:R:3 pbc="T T T"
Te -0.001 0.225 2.175
Te 1.864 4.023 5.235
Mo -1.396 -3.019 7.409
Mo 3.259 7.267 0.001
Se -1.362 2.434 6.274
Se 0.039 -1.324 6.136
Se 1.825 5.571 1.274
Se 3.225 1.813 1.136
S -0.003 1.756 0.273
S 1.866 2.491 7.137
Br -1.376 4.764 3.381
Br 3.239 -0.516 4.029
```

The energy is -4.8646 eV per atom. As for the distance to the lowest polymorph of the same formula: 0.007 eV/atom.

19.
VASP calculation (PBE-GGA) on crystalline TeMoSeS2Br at its relaxed geometry.

```
12
Lattice="6.387 0.000 0.000 -1.186 7.183 0.000 -2.045 -3.973 7.312" Properties=species:S:1:pos:R:3 pbc="T T T"
Te -0.002 -0.209 2.184
Te 3.158 3.419 5.128
Mo 1.781 0.000 0.000
Mo 4.606 0.000 0.000
Se -0.039 1.480 6.070
Se 3.195 1.730 1.242
S -2.042 -2.210 7.007
S 1.150 -2.277 6.266
S 2.007 5.487 1.045
S 5.199 5.420 0.305
Br -0.022 2.565 3.322
Br 3.178 0.645 3.989
```

The energy is -4.9873 eV per atom. As for the distance to the lowest polymorph of the same formula: 0.003 eV/atom.

20.
VASP calculation (PBE-GGA) on crystalline TeMoSe2SBr at its relaxed geometry.

```
12
Lattice="6.459 0.000 0.000 -1.139 8.008 0.000 -2.089 -4.144 6.840" Properties=species:S:1:pos:R:3 pbc="T T T"
Te -0.004 -0.508 2.138
Te 3.234 4.372 4.702
Mo 0.691 8.006 0.002
Mo 2.540 -4.142 6.838
Se -2.088 -2.212 6.784
Se 0.002 2.285 5.388
Se 3.229 1.579 1.451
Se 5.318 6.076 0.056
S 1.136 -2.372 5.951
S 2.094 6.236 0.888
Br -0.003 3.284 2.820
Br 3.234 0.580 4.020
```

The energy is -4.8565 eV per atom. As for the distance to the lowest polymorph of the same formula: 0.015 eV/atom.